[1]
VASP calculation (GGA-PBE) on Er5Ni2Au2 after structural relaxation.

The structure in CIF format:
```
data_Er5Ni2Au2
_symmetry_space_group_name_H-M 'C m c e'
_symmetry_Int_Tables_number 64
_symmetry_space_group_name_Hall '-C 2ac 2'
_cell_length_a 15.2158
_cell_length_b 7.2206
_cell_length_c 7.4462
_cell_angle_alpha 90.00
_cell_angle_beta 90.00
_cell_angle_gamma 90.00
loop_
_atom_site_label
_atom_site_fract_x
_atom_site_fract_y
_atom_site_fract_z
Er1 0.0000 0.0000 0.0000
Er2 0.1303 0.1729 0.3250
Ni1 0.0000 0.1170 0.6189
Au1 0.2085 0.0000 0.0000
```

Results
Energy relative to the elements = -0.594 eV per atom
Total magnetization = 0.00 μB/cell


[2]
VASP calculation (GGA-PBE) on HgPCl after structural relaxation.

The structure in CIF format:
```
data_HgPCl
_symmetry_space_group_name_H-M 'F -4 3 m'
_symmetry_Int_Tables_number 216
_symmetry_space_group_name_Hall 'F -4 2 3'
_cell_length_a 6.7814
_cell_length_b 6.7814
_cell_length_c 6.7814
_cell_angle_alpha 90.00
_cell_angle_beta 90.00
_cell_angle_gamma 90.00
loop_
_atom_site_label
_atom_site_fract_x
_atom_site_fract_y
_atom_site_fract_z
Hg1 0.0000 0.0000 0.0000
P1 0.2500 0.2500 0.7500
Cl1 0.2500 0.2500 0.2500
```

Results
Total magnetization = 7.85 μB/cell
E_form (uncorrected) = 626 meV/atom
Energy relative to the lowest polymorph listed for this composition = 875 meV per atom